No. 1
CaBi2Ir2: optimized geometry, PBE.

Results
DFT formation energy in eV/atom: -0.014
Total magnetic moment in μB/atom: 0.000
Energy relative to the lowest polymorph listed for this composition in kJ/mol of formula units: 8.3

Cell: 4.2514 4.2514 7.4894 Å, 73.51 73.51 90.00°
Sites, in units of the cell vectors:
Bi: 0.3731 0.3731 0.2538
Bi: 0.6269 0.6269 0.7462
Ca: 0.0000 0.0000 0.0000
Ir: 0.7500 0.2500 0.5000
Ir: 0.2500 0.7500 0.5000

***

No. 2
EuSnAs2: optimized geometry, PBE.

Results
DFT formation energy in eV/atom: -0.515
Total magnetic moment in μB/atom: 1.669
Energy relative to the lowest polymorph listed for this composition in kJ/mol of formula units: 0.0

Cell: 4.0219 4.8249 4.8249 Å, 90.00 90.00 90.00°
Site moments in Bohr magnetons follow the coordinates.
Sites, in units of the cell vectors:
As: 0.0000 0.0000 0.5000  -0.05
As: 0.0000 0.5000 0.0000  -0.05
Eu: 0.5000 0.0000 0.0000  6.68
Sn: 0.5000 0.5000 0.5000  0.01

***

No. 3
Na6In: optimized geometry, PBE.

Results
DFT formation energy in eV/atom: -0.022
Total magnetic moment in μB/atom: 0.000
Energy relative to the lowest polymorph listed for this composition in kJ/mol of formula units: 0.0

Cell: 5.6790 5.6790 8.7992 Å, 71.17 71.17 60.00°
Sites, in units of the cell vectors:
Na: 0.2893 0.2893 0.1320
Na: 0.8638 0.8638 0.4086
Na: 0.5765 0.5765 0.2704
Na: 0.4235 0.4235 0.7296
Na: 0.1362 0.1362 0.5914
Na: 0.7107 0.7107 0.8680
In: 0.0000 0.0000 0.0000

***

No. 4
Dy3AlSi2Ni9: optimized geometry, PBE.

Results
Total magnetic moment in μB/atom: 0.000
Uncorrected formation energy in meV per atom: -315

Cell: 5.8131 5.8131 8.5020 Å, 90.00 90.00 120.00°
Sites, in units of the cell vectors:
Si: 0.6667 0.3333 0.8239
Si: 0.3333 0.6667 0.1761
Dy: 0.6667 0.3333 0.3201
Dy: 0.0000 0.0000 0.0000
Dy: 0.3333 0.6667 0.6799
Ni: 0.8611 0.1389 0.7214
Ni: 0.5000 0.0000 0.0000
Ni: 0.1389 0.8611 0.2786
Ni: 0.1389 0.2778 0.2786
Ni: 0.0000 0.5000 0.0000
Ni: 0.5000 0.5000 0.0000
Ni: 0.2778 0.1389 0.7214
Ni: 0.8611 0.7222 0.7214
Ni: 0.7222 0.8611 0.2786
Al: 0.0000 0.0000 0.5000

***

No. 5
PPt: optimized geometry, PBE.

Results
DFT formation energy in eV/atom: -0.330
Total magnetic moment in μB/atom: 0.000

Cell: 3.8536 5.0508 11.1159 Å, 90.00 90.00 90.00°
Sites, in units of the cell vectors:
P: 0.5000 0.9554 0.1589
P: 0.5000 0.9554 0.8411
P: 0.0000 0.0446 0.3411
P: 0.0000 0.0446 0.6589
P: 0.5000 0.5137 0.5000
P: 0.0000 0.4863 0.0000
Pt: 0.5000 0.3035 0.3087
Pt: 0.0000 0.6965 0.8087
Pt: 0.0000 0.7655 0.5000
Pt: 0.5000 0.2345 0.0000
Pt: 0.0000 0.6965 0.1913
Pt: 0.5000 0.3035 0.6913

***

No. 6
Ba3SrRh: optimized geometry, PBE.

Results
DFT formation energy in eV/atom: 1.289
Total magnetic moment in μB/atom: 0.525
Energy relative to the lowest polymorph listed for this composition in kJ/mol of formula units: 686.3

Cell: 6.5165 6.5165 6.5165 Å, 90.00 90.00 90.00°
Site moments in Bohr magnetons follow the coordinates.
Sites, in units of the cell vectors:
Ba: 0.0000 0.0000 0.5000  0.15
Ba: 0.5000 0.0000 0.0000  0.07
Ba: 0.0000 0.5000 0.0000  0.12
Rh: 0.5000 0.5000 0.5000  1.10
Sr: 0.0000 0.0000 0.0000  0.20

***

No. 7
Pm6SiRh2Br3: optimized geometry, PBE.

Results
Total magnetic moment in μB/atom: 0.000
Uncorrected formation energy in meV per atom: -1016

Cell: 7.2323 7.2323 7.9736 Å, 98.69 98.69 120.04°
Sites, in units of the cell vectors:
Rh: 0.6671 0.3329 0.0000
Rh: 0.3329 0.6671 0.0000
Pm: 0.7217 0.7217 0.2001
Pm: 0.5897 0.9342 0.7994
Pm: 0.0658 0.4103 0.2006
Pm: 0.9342 0.5897 0.7994
Pm: 0.4103 0.0658 0.2006
Pm: 0.2783 0.2783 0.7999
Br: 0.8386 0.1614 0.5000
Br: 0.5000 0.5000 0.5000
Br: 0.1614 0.8386 0.5000
Si: 0.0000 0.0000 0.0000

***

No. 8
TbCeErZr: optimized geometry, PBE.

Results
DFT formation energy in eV/atom: 0.218
Total magnetic moment in μB/atom: 0.338

Cell: 5.4458 5.4458 5.4458 Å, 60.00 60.00 60.00°
Site moments in Bohr magnetons follow the coordinates.
Sites, in units of the cell vectors:
Zr: 0.2500 0.2500 0.2500  0.37
Er: 0.7500 0.7500 0.7500  0.01
Tb: 0.0000 0.0000 0.0000  0.10
Ce: 0.5000 0.5000 0.5000  0.49

***

No. 9
La5Nd4Sm2: optimized geometry, PBE.

Results
DFT formation energy in eV/atom: 0.119
Total magnetic moment in μB/atom: 0.000
Energy relative to the lowest polymorph listed for this composition in kJ/mol of formula units: 0.0

Cell: 3.5503 9.0789 12.4532 Å, 83.25 98.20 90.00°
Sites, in units of the cell vectors:
La: 0.5000 0.0000 0.0000
La: 0.2301 0.1760 0.4602
La: 0.7699 0.8240 0.5398
La: 0.1403 0.8887 0.2805
La: 0.8597 0.1113 0.7195
Nd: 0.6774 0.5279 0.3548
Nd: 0.3226 0.4721 0.6452
Nd: 0.0459 0.6372 0.0919
Nd: 0.9541 0.3628 0.9081
Sm: 0.0913 0.2712 0.1826
Sm: 0.9087 0.7288 0.8174

***

No. 10
AcNdCo2: optimized geometry, PBE.

Results
DFT formation energy in eV/atom: 0.155
Total magnetic moment in μB/atom: 0.234
Energy relative to the lowest polymorph listed for this composition in kJ/mol of formula units: 62.6

Cell: 3.5660 3.5660 7.1067 Å, 90.00 90.00 90.00°
Site moments in Bohr magnetons follow the coordinates.
Sites, in units of the cell vectors:
Co: 0.0000 0.0000 0.7669  0.81
Co: 0.0000 0.0000 0.2331  0.81
Nd: 0.5000 0.5000 0.0000  -0.17
Ac: 0.5000 0.5000 0.5000  -0.13

***

No. 11
Mg2TaP2: optimized geometry, PBE.

Results
DFT formation energy in eV/atom: -0.439
Total magnetic moment in μB/atom: 0.000

Cell: 6.6569 6.6569 3.7686 Å, 90.00 90.00 90.00°
Sites, in units of the cell vectors:
P: 0.6489 0.1489 0.0000
P: 0.1489 0.3511 0.0000
P: 0.3511 0.8511 0.0000
P: 0.8511 0.6489 0.0000
Mg: 0.8394 0.3394 0.5000
Mg: 0.6606 0.8394 0.5000
Mg: 0.3394 0.1606 0.5000
Mg: 0.1606 0.6606 0.5000
Ta: 0.5000 0.5000 0.0000
Ta: 0.0000 0.0000 0.0000

***

No. 12
Th3ZrSn5: optimized geometry, PBE.

Results
DFT formation energy in eV/atom: -0.598
Total magnetic moment in μB/atom: 0.000

Cell: 6.3109 9.5072 9.5072 Å, 120.00 90.00 90.00°
Sites, in units of the cell vectors:
Sn: 0.0000 0.3333 0.6667
Sn: 0.0000 0.6667 0.3333
Sn: 0.2500 0.7318 0.7318
Sn: 0.7500 0.0000 0.7318
Sn: 0.2500 0.0000 0.2682
Sn: 0.5000 0.3333 0.6667
Sn: 0.7500 0.2682 0.2682
Sn: 0.2500 0.2682 0.0000
Sn: 0.7500 0.7318 0.0000
Sn: 0.5000 0.6667 0.3333
Zr: 0.0000 0.0000 0.0000
Zr: 0.5000 0.0000 0.0000
Th: 0.2500 0.0000 0.6167
Th: 0.7500 0.3833 0.0000
Th: 0.2500 0.6167 0.0000
Th: 0.7500 0.0000 0.3833
Th: 0.2500 0.3833 0.3833
Th: 0.7500 0.6167 0.6167

***

No. 13
Li4Cd4In: optimized geometry, PBE.

Results
DFT formation energy in eV/atom: -0.214
Total magnetic moment in μB/atom: 0.000

Cell: 4.2661 6.7911 6.7911 Å, 84.34 71.69 71.69°
Sites, in units of the cell vectors:
Li: 0.1653 0.5002 0.6692
Li: 0.8347 0.4998 0.3308
Li: 0.1655 0.1692 0.9998
Li: 0.8345 0.8308 0.0002
Cd: 0.1708 0.8294 0.3289
Cd: 0.4997 0.1711 0.3294
Cd: 0.8292 0.1706 0.6711
Cd: 0.5003 0.8289 0.6706
In: 0.5000 0.5000 0.0000

***

No. 14
TiV2In: optimized geometry, PBE.

Results
DFT formation energy in eV/atom: 0.109
Total magnetic moment in μB/atom: 0.000

Cell: 4.3215 3.8763 3.8763 Å, 90.00 90.00 90.00°
Sites, in units of the cell vectors:
V: 0.0000 0.0000 0.5000
V: 0.0000 0.5000 0.0000
In: 0.5000 0.5000 0.5000
Ti: 0.5000 0.0000 0.0000

***

No. 15
KBrN3: optimized geometry, PBE.

Results
Total magnetic moment in μB/atom: 1.800
Uncorrected formation energy in meV per atom: 2682

Cell: 5.1076 5.1076 5.1076 Å, 90.00 90.00 90.00°
Site moments in Bohr magnetons follow the coordinates.
Sites, in units of the cell vectors:
N: 0.0000 0.0000 0.5000  1.86
N: 0.5000 0.0000 0.0000  1.82
N: 0.0000 0.5000 0.0000  1.86
Br: 0.5000 0.5000 0.5000  0.46
K: 0.0000 0.0000 0.0000  0.10

***

No. 16
Li3AlF6: optimized geometry, PBE.

Results
Total magnetic moment in μB/atom: 0.000
Energy relative to the lowest polymorph listed for this composition in kJ/mol of formula units: 2.6
Uncorrected formation energy in meV per atom: -3224

Cell: 5.8850 5.8850 5.8850 Å, 91.21 91.21 91.21°
Sites, in units of the cell vectors:
F: 0.2947 0.9378 0.0719
F: 0.7929 0.4478 0.5902
F: 0.4098 0.2071 0.5522
F: 0.7053 0.0622 0.9281
F: 0.9378 0.0719 0.2947
F: 0.0622 0.9281 0.7053
F: 0.0719 0.2947 0.9378
F: 0.2071 0.5522 0.4098
F: 0.9281 0.7053 0.0622
F: 0.5522 0.4098 0.2071
F: 0.5902 0.7929 0.4478
F: 0.4478 0.5902 0.7929
Li: 0.7492 0.4464 0.9379
Li: 0.9379 0.7492 0.4464
Li: 0.5536 0.0621 0.2508
Li: 0.4464 0.9379 0.7492
Li: 0.2508 0.5536 0.0621
Li: 0.0621 0.2508 0.5536
Al: 0.5000 0.5000 0.5000
Al: 0.0000 0.0000 0.0000

***

No. 17
Y2SiCl: optimized geometry, PBE.

Results
Total magnetic moment in μB/atom: 0.000
Energy relative to the lowest polymorph listed for this composition in kJ/mol of formula units: 24.3
Uncorrected formation energy in meV per atom: -1079

Cell: 4.0567 4.0567 7.5799 Å, 74.48 74.48 60.00°
Sites, in units of the cell vectors:
Si: 0.6684 0.6684 0.9949
Y: 0.0701 0.0701 0.7897
Y: 0.2651 0.2651 0.2047
Cl: 0.4964 0.4964 0.5107

***

No. 18
EuHoO2: optimized geometry, PBE.

Results
Total magnetic moment in μB/atom: 1.874
Uncorrected formation energy in meV per atom: -2796

Cell: 3.5689 3.5689 7.1188 Å, 75.48 75.48 60.00°
Site moments in Bohr magnetons follow the coordinates.
Sites, in units of the cell vectors:
O: 0.1143 0.1143 0.6571  -0.02
O: 0.8857 0.8857 0.3429  -0.02
Ho: 0.5000 0.5000 0.5000  0.02
Eu: 0.0000 0.0000 0.0000  7.00

***

No. 19
AsRh: optimized geometry, PBE.

Results
DFT formation energy in eV/atom: -0.257
Total magnetic moment in μB/atom: 0.000

Cell: 9.2962 9.2962 3.7238 Å, 90.00 90.00 120.00°
Sites, in units of the cell vectors:
As: 0.6296 0.7093 0.7500
As: 0.7093 0.0796 0.2500
As: 0.3704 0.2908 0.2500
As: 0.9204 0.6296 0.2500
As: 0.2908 0.9204 0.7500
As: 0.0796 0.3704 0.7500
Rh: 0.4457 0.0815 0.2500
Rh: 0.9185 0.3642 0.2500
Rh: 0.3642 0.4457 0.7500
Rh: 0.6358 0.5543 0.2500
Rh: 0.0815 0.6358 0.7500
Rh: 0.5543 0.9185 0.7500

***

No. 20
BaYRe2: optimized geometry, PBE.

Results
DFT formation energy in eV/atom: 1.246
Total magnetic moment in μB/atom: 0.008
Energy relative to the lowest polymorph listed for this composition in kJ/mol of formula units: 376.5

Cell: 5.9057 5.9057 5.9057 Å, 146.91 130.34 60.98°
Sites, in units of the cell vectors:
Re: 0.4969 0.4969 0.0000
Re: 0.0031 0.0031 0.0000
Ba: 0.7500 0.2500 0.5000
Y: 0.2500 0.7500 0.5000

***

No. 21
OsIOF2: optimized geometry, PBE.

Results
Total magnetic moment in μB/atom: 0.000
Energy relative to the lowest polymorph listed for this composition in kJ/mol of formula units: 0.0
Uncorrected formation energy in meV per atom: -389

Cell: 4.5661 4.5661 3.6916 Å, 90.00 90.00 90.00°
Sites, in units of the cell vectors:
F: 0.5000 0.0000 0.0000
F: 0.0000 0.5000 0.0000
I: 0.5000 0.5000 0.5000
Os: 0.0000 0.0000 0.0000
O: 0.0000 0.0000 0.5000